(1)
# CePrYHg | Alexandria via LeMat-Bulk | GGA-PBE | relaxed
# Calculated formation energy: 0.01 eV/f.u.
# Density of states at the Fermi level: 2.21 states/eV/atom
# V: 454 Å³/cell
# M_tot: 11.1 Bohr magnetons per cell
# Electronic total energy: -69.9 eV per cell
data_CePrYHg
_space_group_name_H-M_alt 'F -4 3 m'
_space_group_IT_number 216
_space_group_name_Hall 'F -4 2 3'
_cell_length_a 7.688
_cell_length_b 7.688
_cell_length_c 7.688
_cell_angle_alpha 90.00
_cell_angle_beta 90.00
_cell_angle_gamma 90.00
loop_
_atom_site_label
_atom_site_type_symbol
_atom_site_fract_x
_atom_site_fract_y
_atom_site_fract_z
_atom_site_occupancy
Ce1 Ce 0.000 0.000 0.000 1
Pr1 Pr 0.250 0.250 0.250 1
Y1 Y 0.250 0.250 0.750 1
Hg1 Hg 0.000 0.000 0.500 1

(2)
# SrCd4In4 | Alexandria via LeMat-Bulk | GGA-PBE | relaxed
# Calculated formation energy: -0.53 eV/f.u.
# Density of states at the Fermi level: 0.56 states/eV/atom
# V: 506 Å³/cell
# M_tot: 0.0 Bohr magnetons per cell
# Electronic total energy: -33.7 eV per cell
data_SrCd4In4
_space_group_name_H-M_alt 'P 42/n m c'
_space_group_IT_number 137
_cell_length_a 6.547
_cell_length_b 6.547
_cell_length_c 11.796
_cell_angle_alpha 90.00
_cell_angle_beta 90.00
_cell_angle_gamma 90.00
loop_
_space_group_symop_operation_xyz
'x,y,z'
'-x,-y,-z'
'-y+1/2,x,z+1/2'
'y+1/2,-x,-z+1/2'
'-x+1/2,-y+1/2,z'
'x+1/2,y+1/2,-z'
'y,-x+1/2,z+1/2'
'-y,x+1/2,-z+1/2'
'x+1/2,-y,-z'
'-x+1/2,y,z'
'-y,-x,-z+1/2'
'y,x,z+1/2'
'-x,y+1/2,-z'
'x,-y+1/2,z'
'y+1/2,x+1/2,-z+1/2'
'-y+1/2,-x+1/2,z+1/2'
loop_
_atom_site_label
_atom_site_type_symbol
_atom_site_fract_x
_atom_site_fract_y
_atom_site_fract_z
_atom_site_occupancy
Sr1 Sr 0.250 0.750 0.250 1
Cd1 Cd 0.024 0.250 0.034 1
In1 In 0.027 0.250 0.325 1

(3)
# K4Rb7Cd | Alexandria via LeMat-Bulk | GGA-PBE | relaxed
# Calculated formation energy: 0.20 eV/f.u.
# Density of states at the Fermi level: 0.77 states/eV/atom
# V: 1893 Å³/cell
# M_tot: 0.0 Bohr magnetons per cell
# Electronic total energy: -23.7 eV per cell
data_K4Rb7Cd
_space_group_name_H-M_alt 'C 1 2/m 1'
_space_group_IT_number 12
_space_group_name_Hall '-C 2y'
_cell_length_a 15.501
_cell_length_b 7.266
_cell_length_c 17.322
_cell_angle_alpha 90.00
_cell_angle_beta 103.95
_cell_angle_gamma 90.00
loop_
_atom_site_label
_atom_site_type_symbol
_atom_site_fract_x
_atom_site_fract_y
_atom_site_fract_z
_atom_site_occupancy
K1 K 0.040 0.000 0.305 1
K2 K 0.178 0.500 0.765 1
Rb1 Rb 0.000 0.500 0.500 1
Rb2 Rb 0.089 0.500 0.137 1
Rb3 Rb 0.141 0.000 0.957 1
Rb4 Rb 0.243 0.000 0.594 1
Cd1 Cd 0.000 0.000 0.500 1

(4)
# La4Er4Tm | Alexandria via LeMat-Bulk | GGA-PBE | relaxed
# Calculated formation energy: 6.54 eV/f.u.
# Density of states at the Fermi level: 1.49 states/eV/atom
# V: 731 Å³/cell
# Energy relative to the lowest polymorph listed for this composition: 694 meV per atom
# M_tot: 0.0 Bohr magnetons per cell
# Electronic total energy: -71.8 eV per cell
data_La4Er4Tm
_space_group_name_H-M_alt 'I -4 2 m'
_space_group_IT_number 121
_space_group_name_Hall 'I -4 2'
_cell_length_a 6.109
_cell_length_b 6.109
_cell_length_c 19.573
_cell_angle_alpha 90.00
_cell_angle_beta 90.00
_cell_angle_gamma 90.00
loop_
_atom_site_label
_atom_site_type_symbol
_atom_site_fract_x
_atom_site_fract_y
_atom_site_fract_z
_atom_site_occupancy
La1 La 0.000 0.000 0.144 1
La2 La 0.000 0.500 0.000 1
Er1 Er 0.181 0.181 0.295 1
Tm1 Tm 0.000 0.000 0.000 1

(5)
# ZnAuO2F | Alexandria via LeMat-Bulk | GGA-PBE | relaxed
# Density of states at the Fermi level: 0.50 states/eV/atom
# V: 71 Å³/cell
# ΔE_f (raw): -12 meV per atom
# M_tot: 0.0 Bohr magnetons per cell
# Electronic total energy: -16.4 eV per cell
data_ZnAuO2F
_space_group_name_H-M_alt 'P 4/m m m'
_space_group_IT_number 123
_space_group_name_Hall '-P 4 2'
_cell_length_a 4.090
_cell_length_b 4.090
_cell_length_c 4.265
_cell_angle_alpha 90.00
_cell_angle_beta 90.00
_cell_angle_gamma 90.00
loop_
_atom_site_label
_atom_site_type_symbol
_atom_site_fract_x
_atom_site_fract_y
_atom_site_fract_z
_atom_site_occupancy
Zn1 Zn 0.000 0.000 0.000 1
Au1 Au 0.500 0.500 0.500 1
O1 O 0.000 0.500 0.500 1
F1 F 0.500 0.500 0.000 1

(6)
# La2HPb | Alexandria via LeMat-Bulk | GGA-PBE | relaxed
# Density of states at the Fermi level: 1.09 states/eV/atom
# V: 430 Å³/cell
# M_tot: 0.0 Bohr magnetons per cell
# Electronic total energy: -75.0 eV per cell
data_La2HPb
_space_group_name_H-M_alt 'I -4 2 d'
_space_group_IT_number 122
_space_group_name_Hall 'I -4 2bw'
_cell_length_a 7.442
_cell_length_b 7.442
_cell_length_c 7.768
_cell_angle_alpha 90.00
_cell_angle_beta 90.00
_cell_angle_gamma 90.00
loop_
_atom_site_label
_atom_site_type_symbol
_atom_site_fract_x
_atom_site_fract_y
_atom_site_fract_z
_atom_site_occupancy
La1 La 0.163 0.250 0.125 1
H1 H 0.000 0.000 0.000 1
Pb1 Pb 0.000 0.000 0.500 1

(7)
# SiPPb2 | Alexandria via LeMat-Bulk | GGA-PBE | relaxed
# Density of states at the Fermi level: 0.65 states/eV/atom
# V: 96 Å³/cell
# ΔE_f (raw): 500 meV per atom
# Energy relative to the lowest polymorph listed for this composition: 437 meV per atom
# M_tot: 0.0 Bohr magnetons per cell
# Electronic total energy: -16.2 eV per cell
data_SiPPb2
_space_group_name_H-M_alt 'P 1 2/m 1'
_space_group_IT_number 10
_space_group_name_Hall '-P 2y'
_cell_length_a 3.820
_cell_length_b 3.762
_cell_length_c 6.654
_cell_angle_alpha 90.00
_cell_angle_beta 92.72
_cell_angle_gamma 90.00
loop_
_atom_site_label
_atom_site_type_symbol
_atom_site_fract_x
_atom_site_fract_y
_atom_site_fract_z
_atom_site_occupancy
Si1 Si 0.000 0.000 0.000 1
P1 P 0.000 0.000 0.500 1
Pb1 Pb 0.476 0.500 0.743 1

(8)
# Sr2PRhSe | Alexandria via LeMat-Bulk | GGA-PBE | relaxed
# Density of states at the Fermi level: 1.11 states/eV/atom
# V: 153 Å³/cell
# ΔE_f (raw): -424 meV per atom
# M_tot: 1.0 Bohr magnetons per cell
# Electronic total energy: -21.7 eV per cell
data_Sr2PRhSe
_space_group_name_H-M_alt 'P 4/m m m'
_space_group_IT_number 123
_space_group_name_Hall '-P 4 2'
_cell_length_a 5.804
_cell_length_b 5.804
_cell_length_c 4.537
_cell_angle_alpha 90.00
_cell_angle_beta 90.00
_cell_angle_gamma 90.00
loop_
_atom_site_label
_atom_site_type_symbol
_atom_site_fract_x
_atom_site_fract_y
_atom_site_fract_z
_atom_site_occupancy
Sr1 Sr 0.000 0.500 0.000 1
P1 P 0.000 0.000 0.500 1
Rh1 Rh 0.500 0.500 0.500 1
Se1 Se 0.500 0.500 0.000 1

(9)
# Pm7PrRh2 | Alexandria via LeMat-Bulk | GGA-PBE | relaxed
# Calculated formation energy: -1.06 eV/f.u.
# Density of states at the Fermi level: 1.35 states/eV/atom
# V: 701 Å³/cell
# M_tot: 0.0 Bohr magnetons per cell
# Electronic total energy: -107.6 eV per cell
data_Pm7PrRh2
_space_group_name_H-M_alt 'C m m m'
_space_group_IT_number 65
_space_group_name_Hall '-C 2 2'
_cell_length_a 8.858
_cell_length_b 14.515
_cell_length_c 5.451
_cell_angle_alpha 90.00
_cell_angle_beta 90.00
_cell_angle_gamma 90.00
loop_
_atom_site_label
_atom_site_type_symbol
_atom_site_fract_x
_atom_site_fract_y
_atom_site_fract_z
_atom_site_occupancy
Pm1 Pm 0.000 0.000 0.000 1
Pm2 Pm 0.000 0.208 0.500 1
Pm3 Pm 0.191 0.368 0.000 1
Pr1 Pr 0.000 0.500 0.500 1
Rh1 Rh 0.000 0.201 0.000 1

(10)
# Tl3GeMo | Alexandria via LeMat-Bulk | GGA-PBE | relaxed
# Calculated formation energy: 4.69 eV/f.u.
# Density of states at the Fermi level: 0.92 states/eV/atom
# V: 159 Å³/cell
# Energy relative to the lowest polymorph listed for this composition: 0 meV per atom
# M_tot: 0.4 Bohr magnetons per cell
# Electronic total energy: -17.9 eV per cell
data_Tl3GeMo
_space_group_name_H-M_alt 'P m -3 m'
_space_group_IT_number 221
_space_group_name_Hall '-P 4 2 3'
_cell_length_a 5.414
_cell_length_b 5.414
_cell_length_c 5.414
_cell_angle_alpha 90.00
_cell_angle_beta 90.00
_cell_angle_gamma 90.00
loop_
_atom_site_label
_atom_site_type_symbol
_atom_site_fract_x
_atom_site_fract_y
_atom_site_fract_z
_atom_site_occupancy
Tl1 Tl 0.000 0.000 0.500 1
Ge1 Ge 0.500 0.500 0.500 1
Mo1 Mo 0.000 0.000 0.000 1

(11)
# Pd12Pt7Au | Alexandria via LeMat-Bulk | GGA-PBE | relaxed
# Calculated formation energy: 13.41 eV/f.u.
# Density of states at the Fermi level: 1.58 states/eV/atom
# V: 824 Å³/cell
# M_tot: 0.0 Bohr magnetons per cell
# Electronic total energy: -188.9 eV per cell
data_Pd12Pt7Au
_space_group_name_H-M_alt 'I m -3'
_space_group_IT_number 204
_space_group_name_Hall '-I 2 2 3'
_cell_length_a 9.375
_cell_length_b 9.375
_cell_length_c 9.375
_cell_angle_alpha 90.00
_cell_angle_beta 90.00
_cell_angle_gamma 90.00
loop_
_atom_site_label
_atom_site_type_symbol
_atom_site_fract_x
_atom_site_fract_y
_atom_site_fract_z
_atom_site_occupancy
Pd1 Pd 0.000 0.267 0.143 1
Pt1 Pt 0.000 0.000 0.500 1
Pt2 Pt 0.250 0.250 0.250 1
Au1 Au 0.000 0.000 0.000 1

(12)
# Tm3Th2Mg | Alexandria via LeMat-Bulk | GGA-PBE | relaxed
# Calculated formation energy: -0.12 eV/f.u.
# Density of states at the Fermi level: 0.90 states/eV/atom
# V: 179 Å³/cell
# M_tot: 0.0 Bohr magnetons per cell
# Electronic total energy: -30.0 eV per cell
data_Tm3Th2Mg
_space_group_name_H-M_alt 'P 4/m m m'
_space_group_IT_number 123
_space_group_name_Hall '-P 4 2'
_cell_length_a 3.564
_cell_length_b 3.564
_cell_length_c 14.075
_cell_angle_alpha 90.00
_cell_angle_beta 90.00
_cell_angle_gamma 90.00
loop_
_atom_site_label
_atom_site_type_symbol
_atom_site_fract_x
_atom_site_fract_y
_atom_site_fract_z
_atom_site_occupancy
Tm1 Tm 0.000 0.000 0.000 1
Tm2 Tm 0.000 0.000 0.345 1
Th1 Th 0.500 0.500 0.176 1
Mg1 Mg 0.500 0.500 0.500 1

(13)
# Cd2CoTe | Alexandria via LeMat-Bulk | GGA-PBE | relaxed
# Density of states at the Fermi level: 1.09 states/eV/atom
# V: 164 Å³/cell
# ΔE_f (raw): 401 meV per atom
# M_tot: 2.2 Bohr magnetons per cell
# Electronic total energy: -20.9 eV per cell
data_Cd2CoTe
_space_group_name_H-M_alt 'I -4 m 2'
_space_group_IT_number 119
_space_group_name_Hall 'I -4 -2'
_cell_length_a 4.368
_cell_length_b 4.368
_cell_length_c 8.610
_cell_angle_alpha 90.00
_cell_angle_beta 90.00
_cell_angle_gamma 90.00
loop_
_atom_site_label
_atom_site_type_symbol
_atom_site_fract_x
_atom_site_fract_y
_atom_site_fract_z
_atom_site_occupancy
Cd1 Cd 0.000 0.000 0.000 1
Cd2 Cd 0.000 0.500 0.250 1
Co1 Co 0.000 0.500 0.750 1
Te1 Te 0.000 0.000 0.500 1

(14)
# AcEuDyEr | Alexandria via LeMat-Bulk | GGA-PBE | relaxed
# Calculated formation energy: 0.58 eV/f.u.
# Density of states at the Fermi level: 1.56 states/eV/atom
# V: 587 Å³/cell
# M_tot: 31.1 Bohr magnetons per cell
# Electronic total energy: -91.9 eV per cell
data_AcEuDyEr
_space_group_name_H-M_alt 'F -4 3 m'
_space_group_IT_number 216
_space_group_name_Hall 'F -4 2 3'
_cell_length_a 8.372
_cell_length_b 8.372
_cell_length_c 8.372
_cell_angle_alpha 90.00
_cell_angle_beta 90.00
_cell_angle_gamma 90.00
loop_
_atom_site_label
_atom_site_type_symbol
_atom_site_fract_x
_atom_site_fract_y
_atom_site_fract_z
_atom_site_occupancy
Ac1 Ac 0.000 0.000 0.000 1
Eu1 Eu 0.250 0.250 0.250 1
Dy1 Dy 0.000 0.000 0.500 1
Er1 Er 0.250 0.250 0.750 1

(15)
# NdSm2YTm2 | Alexandria via LeMat-Bulk | GGA-PBE | relaxed
# Calculated formation energy: 0.39 eV/f.u.
# Density of states at the Fermi level: 1.64 states/eV/atom
# V: 389 Å³/cell
# M_tot: 0.0 Bohr magnetons per cell
# Electronic total energy: -58.4 eV per cell
data_NdSm2YTm2
_space_group_name_H-M_alt 'P n n m'
_space_group_IT_number 58
_space_group_name_Hall '-P 2 2n'
_cell_length_a 7.021
_cell_length_b 9.813
_cell_length_c 5.646
_cell_angle_alpha 90.00
_cell_angle_beta 90.00
_cell_angle_gamma 90.00
loop_
_atom_site_label
_atom_site_type_symbol
_atom_site_fract_x
_atom_site_fract_y
_atom_site_fract_z
_atom_site_occupancy
Nd1 Nd 0.000 0.000 0.000 1
Sm1 Sm 0.248 0.333 0.000 1
Y1 Y 0.000 0.500 0.500 1
Tm1 Tm 0.250 0.166 0.500 1

(16)
# Y2AsH2 | Alexandria via LeMat-Bulk | GGA-PBE | relaxed
# Density of states at the Fermi level: 0.29 states/eV/atom
# V: 167 Å³/cell
# Energy relative to the lowest polymorph listed for this composition: 218 meV per atom
# M_tot: 1.7 Bohr magnetons per cell
# Electronic total energy: -55.1 eV per cell
data_Y2AsH2
_space_group_name_H-M_alt 'I 4/m m m'
_space_group_IT_number 139
_space_group_name_Hall '-I 4 2'
_cell_length_a 4.499
_cell_length_b 4.499
_cell_length_c 8.274
_cell_angle_alpha 90.00
_cell_angle_beta 90.00
_cell_angle_gamma 90.00
loop_
_atom_site_label
_atom_site_type_symbol
_atom_site_fract_x
_atom_site_fract_y
_atom_site_fract_z
_atom_site_occupancy
Y1 Y 0.000 0.500 0.250 1
As1 As 0.000 0.000 0.000 1
H1 H 0.000 0.000 0.338 1

(17)
# CuGeAu6 | Alexandria via LeMat-Bulk | GGA-PBE | relaxed
# Calculated formation energy: 0.67 eV/f.u.
# Density of states at the Fermi level: 0.30 states/eV/atom
# V: 147 Å³/cell
# Energy relative to the lowest polymorph listed for this composition: 46 meV per atom
# M_tot: 0.0 Bohr magnetons per cell
# Electronic total energy: -27.7 eV per cell
data_CuGeAu6
_space_group_name_H-M_alt 'P -1'
_space_group_IT_number 2
_space_group_name_Hall '-P 1'
_cell_length_a 5.479
_cell_length_b 5.483
_cell_length_c 5.507
_cell_angle_alpha 71.92
_cell_angle_beta 73.01
_cell_angle_gamma 74.23
loop_
_atom_site_label
_atom_site_type_symbol
_atom_site_fract_x
_atom_site_fract_y
_atom_site_fract_z
_atom_site_occupancy
Cu1 Cu 0.000 0.000 0.000 1
Ge1 Ge 0.500 0.500 0.500 1
Au1 Au 0.012 0.751 0.489 1
Au2 Au 0.248 0.520 0.986 1
Au3 Au 0.492 0.004 0.752 1

(18)
# PrInSn3 | Alexandria via LeMat-Bulk | GGA-PBE | relaxed
# Calculated formation energy: -0.01 eV/f.u.
# Density of states at the Fermi level: 0.54 states/eV/atom
# V: 534 Å³/cell
# Energy relative to the lowest polymorph listed for this composition: 325 meV per atom
# M_tot: 0.0 Bohr magnetons per cell
# Electronic total energy: -58.6 eV per cell
data_PrInSn3
_space_group_name_H-M_alt 'R -3 m'
_space_group_IT_number 166
_space_group_name_Hall '-R 3 2"'
_cell_length_a 6.5311
_cell_length_b 6.5311
_cell_length_c 14.4631
_cell_angle_alpha 90.00
_cell_angle_beta 90.00
_cell_angle_gamma 120.00
loop_
_atom_site_label
_atom_site_type_symbol
_atom_site_fract_x
_atom_site_fract_y
_atom_site_fract_z
_atom_site_occupancy
Pr1 Pr 0.0000 0.0000 0.0000 1
In1 In 0.0000 0.0000 0.5000 1
Sn1 Sn 0.0000 0.5000 0.0000 1

(19)
# Hf2Be2Rh | Alexandria via LeMat-Bulk | GGA-PBE | relaxed
# Calculated formation energy: 1.75 eV/f.u.
# Density of states at the Fermi level: 0.75 states/eV/atom
# V: 156 Å³/cell
# Energy relative to the lowest polymorph listed for this composition: 842 meV per atom
# M_tot: 0.0 Bohr magnetons per cell
# Electronic total energy: -65.9 eV per cell
data_Hf2Be2Rh
_space_group_name_H-M_alt 'I 4/m m m'
_space_group_IT_number 139
_space_group_name_Hall '-I 4 2'
_cell_length_a 3.844
_cell_length_b 3.844
_cell_length_c 10.561
_cell_angle_alpha 90.00
_cell_angle_beta 90.00
_cell_angle_gamma 90.00
loop_
_atom_site_label
_atom_site_type_symbol
_atom_site_fract_x
_atom_site_fract_y
_atom_site_fract_z
_atom_site_occupancy
Hf1 Hf 0.000 0.500 0.250 1
Be1 Be 0.000 0.000 0.089 1
Rh1 Rh 0.000 0.000 0.500 1

(20)
# SrGe2S4 | Alexandria via LeMat-Bulk | GGA-PBE | relaxed
# Density of states at the Fermi level: 0.24 states/eV/atom
# V: 368 Å³/cell
# ΔE_f (raw): -624 meV per atom
# M_tot: 0.0 Bohr magnetons per cell
# Electronic total energy: -63.6 eV per cell
data_SrGe2S4
_space_group_name_H-M_alt 'I 4/m'
_space_group_IT_number 87
_space_group_name_Hall '-I 4'
_cell_length_a 7.715
_cell_length_b 7.715
_cell_length_c 6.179
_cell_angle_alpha 90.00
_cell_angle_beta 90.00
_cell_angle_gamma 90.00
loop_
_atom_site_label
_atom_site_type_symbol
_atom_site_fract_x
_atom_site_fract_y
_atom_site_fract_z
_atom_site_occupancy
Sr1 Sr 0.000 0.000 0.000 1
Ge1 Ge 0.000 0.500 0.250 1
S1 S 0.157 0.682 0.500 1